# GeB

A geometry-optimized GeB structure (PBE, the Alexandria database).

```
GeB
1.0
10.6535 0.0000 0.0000
0.0000 3.0468 0.0000
-0.9771 0.0000 3.4443
Ge B
4 4
direct
0.1173 0.0000 0.2880
0.3827 0.5000 0.7120
0.6173 0.5000 0.2880
0.8827 0.0000 0.7120
0.2444 0.0000 0.8870
0.2556 0.5000 0.1130
0.7444 0.5000 0.8870
0.7556 0.0000 0.1130
```

Calculated values
E above lowest polymorph, meV/atom: 37
Formation enthalpy at 0 K, eV/atom: 0.415
Fermi-level density of states, states/eV/f.u.: 0.34
Space group: No. 12
Raw total energy, eV/atom: -5.23